Entry 1:
Entry from the Alexandria database: a relaxed TbSeO crystal (PBE).

a = 9.7071 Å, b = 9.7071 Å, c = 9.7071 Å
α = 22.48°, β = 22.48°, γ = 22.48°
Last column: nearest neighbours and their distance in Å.
Positions (direct):
Tb 0.1147 0.1147 0.1147  4 O 2.26-2.35
Tb 0.8853 0.8853 0.8853  4 O 2.26-2.35
Se 0.3726 0.3726 0.3726  3 Tb 3.06, 3 Se 3.12
Se 0.6274 0.6274 0.6274  3 Tb 3.06, 3 Se 3.12
O 0.1976 0.1976 0.1976  4 Tb 2.26-2.35
O 0.8024 0.8024 0.8024  4 Tb 2.26-2.35

Formation energy (no corrections) (eV per atom): -2.2568
Crystal system: trigonal
Symmetry: R-3m
Magnetization (μB per formula unit): 0.0

***

Entry 2:
Entry from the Alexandria database: a relaxed Tb4Se5O crystal (PBE).

a = 9.8971 Å, b = 9.8971 Å, c = 9.8971 Å
α = 157.78°, β = 135.68°, γ = 50.12°
Last column: nearest neighbours and their distance in Å.
Positions (direct):
Tb 0.2189 0.2189 0.0000  6 Se 2.86-2.89
Tb 0.2187 0.5000 0.7187  2 O 2.51
Tb 0.7813 0.5000 0.2813  2 O 2.51
Tb 0.7811 0.7811 0.0000  6 Se 2.86-2.89
Se 0.0870 0.3406 0.7464  4 Tb 2.86-2.89
Se 0.4059 0.6594 0.7464  4 Tb 2.86-2.89
Se 0.5000 0.0000 0.5000  4 Tb 2.84
Se 0.5941 0.3406 0.2536  4 Tb 2.86-2.89
Se 0.9130 0.6594 0.2536  4 Tb 2.86-2.89
O 0.0000 0.0000 0.0000  4 Tb 2.51

Formation energy (no corrections) (eV per atom): -1.9639
Crystal system: orthorhombic
Symmetry: Immm
Magnetization (μB per formula unit): 0.0